# BaMn3Pb

BaMn3Pb after structural relaxation (PBE, Alexandria).

Output
For the raw total energy, the calculation gives -4.832 eV per atom. The relative energy among the computed polymorphs is 0.921 eV/atom.

Cell: 5.3836 5.3836 5.3836 Å, 90.00 90.00 90.00°
Closest atoms and distances in Å follow each position.
Space group Pm-3m (No. 221)
Symmetry-distinct sites (fractional):
Ba 0.0000 0.0000 0.0000 x1  6 Mn 2.69
Mn 0.0000 0.0000 0.5000 x3  2 Ba 2.69
Pb 0.5000 0.5000 0.5000 x1  12 Mn 3.81


# ErSbRh2

ErSbRh2 after structural relaxation (PBE, Alexandria).

Output
The raw formation energy comes out at -7.5 kcal/mol of atoms. For the raw total energy, the calculation gives -6.171 eV per atom.

Cell: 4.0159 4.0159 13.2989 Å, 90.00 90.00 90.00°
Closest atoms and distances in Å follow each position.
Space group I4mm (No. 107)
Symmetry-distinct sites (fractional):
Er 0.0000 0.0000 0.0000 x2  4 Rh 2.70
Sb 0.0000 0.0000 0.7609 x2  4 Rh 2.61
Rh 0.0000 0.5000 0.1354 x4  2 Sb 2.61, 2 Er 2.70, 4 Rh 2.84


# CeSmMgBi

CeSmMgBi after structural relaxation (PBE, Alexandria).

Output
For the raw total energy, the calculation gives -4.322 eV per atom.

Cell: 7.7776 7.7776 7.7776 Å, 90.00 90.00 90.00°
Closest atoms and distances in Å follow each position.
Space group F-43m (No. 216)
Symmetry-distinct sites (fractional):
Ce 0.0000 0.0000 0.0000 x4  4 Mg 3.37, 4 Bi 3.37
Sm 0.0000 0.0000 0.5000 x4  4 Bi 3.37, 4 Mg 3.37
Mg 0.2500 0.2500 0.2500 x4  4 Ce 3.37, 4 Sm 3.37
Bi 0.2500 0.2500 0.7500 x4  4 Ce 3.37, 4 Sm 3.37


# Tm11Tl9Co4

Tm11Tl9Co4 after structural relaxation (PBE, Alexandria).

Output
For the raw total energy, the calculation gives -4.432 eV per atom.

Cell: 14.3536 21.5172 3.6228 Å, 90.00 90.00 90.00°
Closest atoms and distances in Å follow each position.
Space group Cmmm (No. 65)
Symmetry-distinct sites (fractional):
Tm 0.0000 0.0000 0.0000 x2  8 Tl 3.19, 2 Tm 3.50
Tm 0.0000 0.1625 0.0000 x4  8 Tl 3.21-3.38, 1 Tm 3.50
Tm 0.0000 0.3751 0.0000 x4  4 Co 2.86
Tm 0.1859 0.5000 0.0000 x4  4 Co 2.86
Tm 0.2465 0.3345 0.0000 x8  2 Co 2.68
Tl 0.0000 0.5000 0.5000 x2  4 Co 3.04, 8 Tm 3.23-3.24
Tl 0.1088 0.2618 0.5000 x8  1 Co 3.03, 4 Tm 3.10-3.21, 1 Tl 3.12
Tl 0.1466 0.0730 0.5000 x8  1 Co 2.98, 4 Tm 3.10-3.19, 1 Tl 3.14
Co 0.1496 0.3999 0.5000 x8  6 Tm 2.68-2.86, 1 Tl 2.98


# ScOsW4

ScOsW4 after structural relaxation (PBE, Alexandria).

Output
For the raw total energy, the calculation gives -11.248 eV per atom.

Cell: 7.4587 7.4587 7.4587 Å, 90.00 90.00 90.00°
Closest atoms and distances in Å follow each position.
Space group F-43m (No. 216)
Symmetry-distinct sites (fractional):
Sc 0.0000 0.0000 0.0000 x4  12 W 3.09, 4 Os 3.23
Os 0.2500 0.2500 0.2500 x4  12 W 3.09, 4 Sc 3.23
W 0.1259 0.1259 0.6259 x16  6 W 2.62-2.66


# LaVInS2

LaVInS2 after structural relaxation (PBE, Alexandria).

Output
The raw formation energy comes out at 22.5 kcal/mol of atoms. For the raw total energy, the calculation gives -4.034 eV per atom.

Cell: 5.0140 5.0140 5.9151 Å, 90.00 90.00 90.00°
Closest atoms and distances in Å follow each position.
Space group P4/mmm (No. 123)
Symmetry-distinct sites (fractional):
La 0.0000 0.0000 0.0000 x1  2 In 2.96
V 0.5000 0.5000 0.0000 x1  4 La 3.55, 8 S 3.88
In 0.0000 0.0000 0.5000 x1  4 S 2.51
S 0.0000 0.5000 0.5000 x2  2 In 2.51


# SbTe2RuI

SbTe2RuI after structural relaxation (PBE, Alexandria).

Output
The raw formation energy comes out at 8.8 kcal/mol of atoms. For the raw total energy, the calculation gives -3.864 eV per atom. The relative energy among the computed polymorphs is 0.000 eV/atom.

Cell: 5.2923 5.2923 5.2063 Å, 90.00 90.00 90.00°
Closest atoms and distances in Å follow each position.
Space group P4/mmm (No. 123)
Symmetry-distinct sites (fractional):
Sb 0.0000 0.0000 0.0000 x1  2 Ru 2.60
Te 0.0000 0.5000 0.5000 x2  2 Ru 2.65
Ru 0.0000 0.0000 0.5000 x1  2 Sb 2.60, 4 Te 2.65
I 0.5000 0.5000 0.0000 x1  8 Te 3.71, 4 Sb 3.74


# CaGeRuRh2

CaGeRuRh2 after structural relaxation (PBE, Alexandria).

Output
For the raw total energy, the calculation gives -5.726 eV per atom.

Cell: 4.8226 4.8226 4.6469 Å, 90.00 90.00 90.00°
Closest atoms and distances in Å follow each position.
Space group P4/mmm (No. 123)
Symmetry-distinct sites (fractional):
Ca 0.0000 0.0000 0.0000 x1  8 Rh 3.35, 4 Ge 3.41
Ge 0.5000 0.5000 0.0000 x1  2 Ru 2.32
Ru 0.5000 0.5000 0.5000 x1  2 Ge 2.32, 4 Rh 2.41
Rh 0.0000 0.5000 0.5000 x2  2 Ru 2.41


# NdTlAs2O6

NdTlAs2O6 after structural relaxation (PBE, Alexandria).

Output
The raw formation energy comes out at -37.9 kcal/mol of atoms. For the raw total energy, the calculation gives -6.261 eV per atom.

Cell: 10.4821 10.1013 6.9615 Å, 90.00 111.26 90.00°
Closest atoms and distances in Å follow each position.
Space group C2/c (No. 15)
Symmetry-distinct sites (fractional):
Nd 0.0000 0.1051 0.2500 x4  6 O 2.31-2.50
Tl 0.0000 0.2997 0.7500 x4  6 O 2.94-3.12
As 0.1980 0.4310 0.2752 x8  3 O 1.75-1.88
O 0.1188 0.0672 0.6195 x8  1 As 1.79
O 0.1508 0.2650 0.2236 x8  1 As 1.75
O 0.1589 0.4863 0.5178 x8  2 As 1.88-1.96


# DyY5Pt6

DyY5Pt6 after structural relaxation (PBE, Alexandria).

Output
For the raw total energy, the calculation gives -7.303 eV per atom.

Cell: 4.9780 6.9362 14.9089 Å, 90.00 90.00 90.00°
Closest atoms and distances in Å follow each position.
Space group Immm (No. 71)
Symmetry-distinct sites (fractional):
Dy 0.0000 0.0000 0.0000 x2  8 Pt 3.02-3.03
Y 0.0000 0.0000 0.3334 x4  8 Pt 3.04
Y 0.0000 0.5000 0.0000 x2  8 Pt 3.02-3.04
Y 0.0000 0.5000 0.3329 x4  8 Pt 3.03-3.04
Pt 0.0000 0.2490 0.1659 x8  1 Dy 3.02, 7 Y 3.02-3.04
Pt 0.0000 0.2520 0.5000 x4  2 Dy 3.03, 6 Y 3.03-3.04


# Pr3Mg7Ga2

Pr3Mg7Ga2 after structural relaxation (PBE, Alexandria).

Output
For the raw total energy, the calculation gives -2.819 eV per atom.

Cell: 6.0684 6.0684 28.4310 Å, 90.00 90.00 120.00°
Closest atoms and distances in Å follow each position.
Space group R-3m (No. 166, hexagonal axes)
Symmetry-distinct sites (fractional):
Pr 0.0000 0.0000 0.0000 x3  6 Ga 3.50, 12 Mg 3.76
Pr 0.0000 0.0000 0.1440 x6  12 Mg 3.56-3.61, 3 Pr 3.73
Mg 0.0000 0.0000 0.5000 x3  6 Mg 3.08
Mg 0.0035 0.5017 0.9219 x18  2 Ga 2.82-2.84, 5 Mg 3.00-3.08
Ga 0.0000 0.0000 0.3341 x6  6 Mg 2.82-2.84


# Pr3Nd2Si2

Pr3Nd2Si2 after structural relaxation (PBE, Alexandria).

Output
The raw formation energy comes out at -9.3 kcal/mol of atoms. For the raw total energy, the calculation gives -5.365 eV per atom.

Cell: 12.2069 4.2837 8.5801 Å, 90.00 110.90 90.00°
Closest atoms and distances in Å follow each position.
Space group C2/m (No. 12)
Symmetry-distinct sites (fractional):
Pr 0.0000 0.0000 0.0000 x2  4 Si 3.08
Pr 0.1311 0.0000 0.4426 x4  3 Si 3.12-3.15, 2 Pr 3.46
Nd 0.1527 0.5000 0.8107 x4  3 Si 3.03-3.27
Si 0.1750 0.5000 0.2018 x4  3 Nd 3.03-3.27, 5 Pr 3.08-3.15


# Tb4InRu3

Tb4InRu3 after structural relaxation (PBE, Alexandria).

Output
For the raw total energy, the calculation gives -6.466 eV per atom.

Cell: 4.9000 4.9000 7.1835 Å, 90.00 90.00 90.00°
Closest atoms and distances in Å follow each position.
Space group P4/mmm (No. 123)
Symmetry-distinct sites (fractional):
Tb 0.0000 0.5000 0.2328 x4  6 Ru 2.97-3.11, 2 In 3.11
In 0.0000 0.0000 0.5000 x1  8 Tb 3.11, 4 Ru 3.46
Ru 0.0000 0.0000 0.0000 x1  8 Tb 2.97
Ru 0.5000 0.5000 0.0000 x1  8 Tb 2.97
Ru 0.5000 0.5000 0.5000 x1  8 Tb 3.11, 4 In 3.46


# Ho2PaAl

Ho2PaAl after structural relaxation (PBE, Alexandria).

Output
For the raw total energy, the calculation gives -5.675 eV per atom. The relative energy among the computed polymorphs is 0.000 eV/atom.

Cell: 3.3707 3.3707 8.9906 Å, 90.00 90.00 90.00°
Closest atoms and distances in Å follow each position.
Space group P4/mmm (No. 123)
Symmetry-distinct sites (fractional):
Ho 0.0000 0.0000 0.2259 x2  4 Al 3.13, 4 Ho 3.37, 4 Pa 3.43
Pa 0.5000 0.5000 0.5000 x1  4 Pa 3.37, 8 Ho 3.43
Al 0.5000 0.5000 0.0000 x1  8 Ho 3.13, 4 Al 3.37


# CsNpTe3Se

CsNpTe3Se after structural relaxation (PBE, Alexandria).

Output
The raw formation energy comes out at -15.0 kcal/mol of atoms. For the raw total energy, the calculation gives -5.101 eV per atom.

Cell: 9.3423 4.2190 12.0494 Å, 90.00 106.87 90.00°
Closest atoms and distances in Å follow each position.
Space group P2_1/m (No. 11)
Symmetry-distinct sites (fractional):
Cs 0.2231 0.2500 0.3129 x2  7 Te 3.82-4.05, 2 Se 3.97, 2 Cs 4.22
Np 0.3255 0.7500 0.8402 x2  2 Se 2.89, 4 Te 2.98-3.16
Te 0.1053 0.2500 0.9127 x2  1 Se 2.61
Te 0.3498 0.7500 0.5989 x2  1 Np 2.98
Te 0.4249 0.7500 0.1143 x2  3 Np 3.07-3.16
Se 0.1441 0.2500 0.7069 x2  1 Te 2.61, 2 Np 2.89


# Zr2GaNi6

Zr2GaNi6 after structural relaxation (PBE, Alexandria).

Output
For the raw total energy, the calculation gives -6.516 eV per atom.

Cell: 5.1062 5.1062 5.4652 Å, 90.00 90.00 120.00°
Closest atoms and distances in Å follow each position.
Space group P-3m1 (No. 164)
Symmetry-distinct sites (fractional):
Zr 0.3333 0.6667 0.1623 x2  9 Ni 2.71-3.02
Ga 0.0000 0.0000 0.0000 x1  6 Ni 2.38
Ni 0.1757 0.3513 0.6711 x6  1 Ga 2.38, 4 Ni 2.42-2.43


# VInFe2

VInFe2 after structural relaxation (PBE, Alexandria).

Output
For the raw total energy, the calculation gives -6.663 eV per atom.

Cell: 6.7736 6.7736 5.3650 Å, 90.00 90.00 90.00°
Closest atoms and distances in Å follow each position.
Space group I-42d (No. 122)
Symmetry-distinct sites (fractional):
V 0.0000 0.0000 0.0000 x4  4 Fe 2.27
In 0.0000 0.0000 0.5000 x4  2 V 2.68, 8 Fe 2.73-2.96
Fe 0.2003 0.2500 0.1250 x8  2 V 2.27


# YZnW2

YZnW2 after structural relaxation (PBE, Alexandria).

Output
For the raw total energy, the calculation gives -7.946 eV per atom.

Cell: 10.2509 3.0020 4.8947 Å, 90.00 103.66 90.00°
Closest atoms and distances in Å follow each position.
Space group C2/m (No. 12)
Symmetry-distinct sites (fractional):
Y 0.0000 0.0000 0.0000 x2  4 Zn 2.87, 2 Y 3.00, 6 W 3.02-3.14
Zn 0.0000 0.5000 0.5000 x2  4 W 2.81, 4 Y 2.87, 2 Zn 3.00
W 0.2330 0.0000 0.7213 x4  4 W 2.72-3.00, 2 Zn 2.81, 1 Y 3.02


# Cs4K5Li

Cs4K5Li after structural relaxation (PBE, Alexandria).

Output
For the raw total energy, the calculation gives -1.032 eV per atom.

Cell: 14.5989 14.5989 7.9358 Å, 90.00 90.00 90.00°
Closest atoms and distances in Å follow each position.
Space group I4 (No. 79)
Symmetry-distinct sites (fractional):
Cs 0.0002 0.3051 0.0000 x8  7 K 4.72-5.28, 1 Li 4.95
K 0.0000 0.0000 0.8038 x2  1 Li 3.73
K 0.1702 0.1707 0.4692 x8  1 Li 3.85
Li 0.0000 0.0000 0.2733 x2  5 K 3.73-3.85


# Sm8Ir3SeBr4

Sm8Ir3SeBr4 after structural relaxation (PBE, Alexandria).

Output
The raw formation energy comes out at -27.2 kcal/mol of atoms. For the raw total energy, the calculation gives -5.837 eV per atom.

Cell: 8.3844 8.3844 22.7593 Å, 90.00 90.00 120.00°
Closest atoms and distances in Å follow each position.
Space group R-3m (No. 166, hexagonal axes)
Symmetry-distinct sites (fractional):
Sm 0.0000 0.0000 0.2310 x6  3 Ir 2.83
Sm 0.0207 0.5104 0.7674 x18  2 Ir 2.79, 1 Se 2.98
Ir 0.0000 0.5000 0.5000 x9  6 Sm 2.79-2.83
Se 0.0000 0.0000 0.5000 x3  6 Sm 2.98
Br 0.0000 0.0000 0.0000 x3  6 Sm 3.23
Br 0.0000 0.5000 0.0000 x9  6 Sm 3.36-3.39


# SmZn6Ru2

SmZn6Ru2 after structural relaxation (PBE, Alexandria).

Output
For the raw total energy, the calculation gives -3.474 eV per atom.

Cell: 4.3922 6.0102 11.6754 Å, 90.00 90.00 90.00°
Closest atoms and distances in Å follow each position.
Space group Immm (No. 71)
Symmetry-distinct sites (fractional):
Sm 0.0000 0.0000 0.0000 x2  4 Zn 2.87
Zn 0.0000 0.1937 0.5000 x4  3 Zn 2.33-2.42
Zn 0.0000 0.2290 0.2933 x8  3 Zn 2.42-2.43, 1 Ru 2.68
Ru 0.0000 0.5000 0.1114 x4  1 Ru 2.60, 10 Zn 2.68-2.82


# KNbCd

KNbCd after structural relaxation (PBE, Alexandria).

Output
For the raw total energy, the calculation gives -3.648 eV per atom. The relative energy among the computed polymorphs is 0.140 eV/atom.

Cell: 3.3794 4.9005 12.3833 Å, 90.00 97.44 90.00°
Closest atoms and distances in Å follow each position.
Space group Pm (No. 6)
Symmetry-distinct sites (fractional):
K 0.0000 0.0000 0.0000 x1  2 K 3.38, 2 Cd 3.52-3.53
K 0.3263 0.5000 0.6860 x1  2 K 3.38, 2 Cd 3.69, 2 Nb 3.69
Nb 0.1255 0.5000 0.2597 x1  2 Nb 2.58-2.59
Nb 0.7005 0.5000 0.4190 x1  2 Nb 2.58-2.59
Cd 0.2205 0.0000 0.4618 x1  4 Nb 3.02, 4 Cd 3.08-3.38
Cd 0.6221 0.0000 0.2517 x1  6 Nb 2.98-3.20, 2 Cd 3.08-3.09


# Sr2Al2W

Sr2Al2W after structural relaxation (PBE, Alexandria).

Output
For the raw total energy, the calculation gives -3.632 eV per atom. The relative energy among the computed polymorphs is 0.256 eV/atom.

Cell: 9.1228 9.1228 3.0735 Å, 90.00 90.00 90.00°
Closest atoms and distances in Å follow each position.
Space group P4/mbm (No. 127)
Symmetry-distinct sites (fractional):
Sr 0.1301 0.3699 0.0000 x4  6 Al 3.01-3.15, 3 Sr 3.07-3.36
Al 0.1690 0.6690 0.5000 x4  6 Sr 3.01-3.15, 2 Al 3.07
W 0.0000 0.0000 0.0000 x2  2 W 3.07